[1]
The following is a DFT calculation (GGA-PBE) of Tl6TeI4 after structural relaxation.

Properties
raw formation energy	-0.548	eV/atom
Fermi-level density of states	0.0000	states/eV per atom
space-group type	R-3c (167)
M_tot	0.00	μB/f.u.
calculated volume	42.10	Å³/atom

```
22
Lattice="6.824 3.940 5.742 -6.824 3.940 5.742 0.000 -7.880 5.742" Properties=species:S:1:pos:R:3 pbc="T T T"
Tl -6.110 -1.449 9.636
Tl -1.800 -6.016 7.589
Tl -1.800 -1.864 6.765
Tl -4.310 4.567 7.589
Tl -0.714 2.491 6.765
Tl -2.514 0.627 10.460
Tl 2.514 -0.627 6.765
Tl 0.714 -2.491 10.460
Tl 4.310 -4.567 9.636
Tl 1.800 1.864 10.460
Tl 1.800 6.016 9.636
Tl 6.110 1.449 7.589
Te 0.000 0.000 0.000
Te 0.000 0.000 8.613
I -3.973 0.999 7.177
I 0.000 0.000 4.306
I -2.851 -2.941 10.048
I 1.122 -3.940 7.177
I -1.122 3.940 10.048
I 2.851 2.941 7.177
I 0.000 0.000 12.919
I 3.973 -0.999 10.048
```


[2]
The following is a DFT calculation (GGA-PBE) of Pd2Se2Cl after structural relaxation.

Properties
raw formation energy	-0.318	eV/atom
Fermi-level density of states	0.4320	states/eV per atom
space-group type	I4/mmm (139)
M_tot	0.00	μB/f.u.
calculated volume	21.08	Å³/atom

```
5
Lattice="-1.870 1.870 7.536 1.870 -1.870 7.536 1.870 1.870 -7.536" Properties=species:S:1:pos:R:3 pbc="T T T"
Pd 0.000 0.000 2.433
Pd 0.000 0.000 12.640
Se 0.000 0.000 4.899
Se 0.000 0.000 10.173
Cl 0.000 0.000 0.000
```


[3]
The following is a DFT calculation (GGA-PBE) of MnSb2Pt after structural relaxation.

Properties
raw formation energy	-0.118	eV/atom
Fermi-level density of states	0.4438	states/eV per atom
space-group type	Cm (8)
M_tot	3.57	μB/f.u.
calculated volume	23.28	Å³/atom

```
4
Lattice="4.129 -1.875 0.000 4.129 1.875 0.000 -3.061 0.000 6.014" Properties=species:S:1:pos:R:3 pbc="T T T"
Mn 0.000 0.000 0.000
Sb -0.672 0.000 4.847
Sb 3.302 0.000 2.114
Pt 5.775 0.000 0.896
```


[4]
The following is a DFT calculation (GGA-PBE) of Cd2NiBiSb after structural relaxation.

Properties
raw formation energy	1.065	eV/atom
Fermi-level density of states	1.4280	states/eV per atom
space-group type	P4/mmm (123)
M_tot	0.03	μB/f.u.
calculated volume	35.51	Å³/atom

```
5
Lattice="5.371 0.000 0.000 0.000 5.371 0.000 0.000 0.000 6.155" Properties=species:S:1:pos:R:3 pbc="T T T"
Cd 0.000 2.685 0.000
Cd 2.685 0.000 0.000
Ni 0.000 0.000 3.078
Bi 2.685 2.685 3.078
Sb 2.685 2.685 0.000
```


[5]
The following is a DFT calculation (GGA-PBE) of TeSeBr2 after structural relaxation.

Properties
raw formation energy	0.357	eV/atom
Fermi-level density of states	0.9060	states/eV per atom
space-group type	R-3m (166)
M_tot	0.70	μB/f.u.
calculated volume	28.01	Å³/atom

```
4
Lattice="1.757 1.015 10.473 -1.757 1.015 10.473 0.000 -2.029 10.473" Properties=species:S:1:pos:R:3 pbc="T T T"
Te 0.000 0.000 0.000
Se 0.000 0.000 15.710
Br 0.000 0.000 2.663
Br 0.000 0.000 28.756
```


[6]
The following is a DFT calculation (GGA-PBE) of MgAs2Ru after structural relaxation.

Properties
Fermi-level density of states	0.5524	states/eV per atom
E_form	38	meV/atom
space-group type	I-4m2 (119)
M_tot	0.00	μB/f.u.
calculated volume	16.40	Å³/atom

```
4
Lattice="-1.934 1.934 4.382 1.934 -1.934 4.382 1.934 1.934 -4.382" Properties=species:S:1:pos:R:3 pbc="T T T"
Mg 0.000 0.000 0.000
As 0.000 0.000 4.382
As 0.000 1.934 2.191
Ru 1.934 0.000 2.191
```


[7]
The following is a DFT calculation (GGA-PBE) of TmTh2Sn after structural relaxation.

Properties
Fermi-level density of states	1.1932	states/eV per atom
E_form	-339	meV/atom
space-group type	P4/mmm (123)
M_tot	0.00	μB/f.u.
calculated volume	28.90	Å³/atom

```
4
Lattice="4.787 0.000 0.000 0.000 4.787 0.000 0.000 0.000 5.045" Properties=species:S:1:pos:R:3 pbc="T T T"
Tm 0.000 0.000 0.000
Th 0.000 2.393 2.522
Th 2.393 0.000 2.522
Sn 2.393 2.393 0.000
```


[8]
The following is a DFT calculation (GGA-PBE) of BaCaF2 after structural relaxation.

Properties
raw formation energy	-2.882	eV/atom
Fermi-level density of states	0.0000	states/eV per atom
space-group type	R-3m (166)
M_tot	0.00	μB/f.u.
calculated volume	27.18	Å³/atom

```
4
Lattice="2.218 1.281 6.378 -2.218 1.281 6.378 0.000 -2.561 6.378" Properties=species:S:1:pos:R:3 pbc="T T T"
Ba 0.000 0.000 0.000
Ca 0.000 0.000 9.568
F 0.000 0.000 7.309
F 0.000 0.000 11.826
```


[9]
The following is a DFT calculation (GGA-PBE) of Rb3PaTi2Te6 after structural relaxation.

Properties
raw formation energy	-0.866	eV/atom
Fermi-level density of states	0.5252	states/eV per atom
space-group type	C2/m (12)
M_tot	4.02	μB/f.u.
calculated volume	34.06	Å³/atom

```
12
Lattice="3.694 -6.423 0.000 3.694 6.423 0.000 -2.470 0.000 8.614" Properties=species:S:1:pos:R:3 pbc="T T T"
Rb 0.000 0.000 0.000
Rb 3.694 2.053 0.000
Rb 3.694 -2.053 0.000
Pa 2.459 0.000 4.307
Ti 2.459 4.167 4.307
Ti 2.459 -4.167 4.307
Te 1.158 2.232 2.632
Te -0.149 0.000 5.886
Te 1.158 -2.232 2.632
Te 3.760 2.232 5.982
Te 5.066 0.000 2.728
Te 3.760 -2.232 5.982
```


[10]
The following is a DFT calculation (GGA-PBE) of La3Ce5Se8 after structural relaxation.

Properties
raw formation energy	-1.884	eV/atom
Fermi-level density of states	2.0427	states/eV per atom
space-group type	R-3m (166)
M_tot	4.55	μB/f.u.
calculated volume	27.08	Å³/atom

```
16
Lattice="4.243 2.449 6.948 -4.243 2.449 6.948 0.000 -4.899 6.948" Properties=species:S:1:pos:R:3 pbc="T T T"
La -2.121 -1.225 6.948
La -2.121 1.225 13.897
La 0.000 2.449 6.948
Ce 0.000 0.000 0.000
Ce -4.243 0.000 10.423
Ce -2.121 1.225 3.474
Ce 2.121 1.225 3.474
Ce 0.000 0.000 10.423
Se -2.141 -1.236 12.127
Se 0.000 0.000 5.162
Se 0.000 -2.473 8.718
Se -2.141 1.236 8.718
Se 2.141 -1.236 12.127
Se 0.000 2.473 12.127
Se 0.000 0.000 15.684
Se 2.141 1.236 8.718
```


[11]
The following is a DFT calculation (GGA-PBE) of GaBMo2 after structural relaxation.

Properties
Fermi-level density of states	0.7669	states/eV per atom
E_form	444	meV/atom
space-group type	Fm-3m (225)
M_tot	0.00	μB/f.u.
calculated volume	13.12	Å³/atom

```
4
Lattice="0.000 2.971 2.971 2.971 0.000 2.971 2.971 2.971 0.000" Properties=species:S:1:pos:R:3 pbc="T T T"
Ga 0.000 0.000 0.000
B 2.971 2.971 2.971
Mo 1.486 1.486 1.486
Mo 4.457 4.457 4.457
```


[12]
The following is a DFT calculation (GGA-PBE) of MnTcBr2 after structural relaxation.

Properties
raw formation energy	0.697	eV/atom
Fermi-level density of states	0.6540	states/eV per atom
space-group type	P4/mmm (123)
M_tot	0.96	μB/f.u.
calculated volume	18.95	Å³/atom

```
4
Lattice="3.352 0.000 0.000 0.000 3.352 0.000 0.000 0.000 6.747" Properties=species:S:1:pos:R:3 pbc="T T T"
Mn 0.000 0.000 0.000
Tc 0.000 0.000 3.373
Br 1.676 1.676 1.645
Br 1.676 1.676 5.102
```


- What is the M_tot in the third record?
  3.57 μB/f.u.


What did the seventh record say?
The following is a DFT calculation (GGA-PBE) of TmTh2Sn after structural relaxation.

Properties
Fermi-level density of states	1.1932	states/eV per atom
E_form	-339	meV/atom
space-group type	P4/mmm (123)
M_tot	0.00	μB/f.u.
calculated volume	28.90	Å³/atom

```
4
Lattice="4.787 0.000 0.000 0.000 4.787 0.000 0.000 0.000 5.045" Properties=species:S:1:pos:R:3 pbc="T T T"
Tm 0.000 0.000 0.000
Th 0.000 2.393 2.522
Th 2.393 0.000 2.522
Sn 2.393 2.393 0.000
```


- Which of these has the highest Fermi-level density of states?
  La3Ce5Se8